[1]
La4Nd10Tm | PBE-GGA | relaxed

Computed properties:
* calculated formation energy: 212 meV per atom
* total DFT energy (no corrections): -68.68 eV per cell
* size of the total moment: 0.000 μB/atom
* Fermi-level density of states: 20.422 states/eV per cell

```
data_La4Nd10Tm
_chemical_formula_sum 'La4 Nd10 Tm1'
_cell_length_a 9.1775
_cell_length_b 9.1775
_cell_length_c 9.1775
_cell_angle_alpha 100.95
_cell_angle_beta 100.95
_cell_angle_gamma 128.33
_space_group_name_H-M_alt 'P 1'
_space_group_IT_number 1
loop_
_space_group_symop_operation_xyz
'x,y,z'
loop_
_atom_site_label
_atom_site_type_symbol
_atom_site_fract_x
_atom_site_fract_y
_atom_site_fract_z
La1 La 0.2268 0.2268 0.4536
La2 La 0.2268 0.7732 0.0000
La3 La 0.7732 0.2268 0.0000
La4 La 0.7732 0.7732 0.5464
Nd1 Nd 0.0793 0.2891 0.7903
Nd2 Nd 0.2500 0.7500 0.5000
Nd3 Nd 0.2891 0.0793 0.7903
Nd4 Nd 0.2891 0.4988 0.2097
Nd5 Nd 0.4988 0.2891 0.2097
Nd6 Nd 0.5012 0.7109 0.7903
Nd7 Nd 0.7109 0.5012 0.7903
Nd8 Nd 0.7109 0.9207 0.2097
Nd9 Nd 0.7500 0.2500 0.5000
Nd10 Nd 0.9207 0.7109 0.2097
Tm1 Tm 0.0000 0.0000 0.0000
```

***

[2]
Rb2YMnSe4 | PBE-GGA | relaxed

Computed properties:
* total DFT energy (no corrections): -80.61 eV per cell
* size of the total moment: 0.500 μB/atom
* Fermi-level density of states: 2.444 states/eV per cell

```
data_Rb2YMnSe4
_chemical_formula_sum 'Rb4 Y2 Mn2 Se8'
_cell_length_a 8.7871
_cell_length_b 8.7871
_cell_length_c 8.7871
_cell_angle_alpha 122.14
_cell_angle_beta 121.01
_cell_angle_gamma 87.30
_space_group_name_H-M_alt 'P 1'
_space_group_IT_number 1
loop_
_space_group_symop_operation_xyz
'x,y,z'
loop_
_atom_site_label
_atom_site_type_symbol
_atom_site_fract_x
_atom_site_fract_y
_atom_site_fract_z
Rb1 Rb 0.0000 0.0000 0.0000
Rb2 Rb 0.5000 0.0000 0.0000
Rb3 Rb 0.5000 0.0000 0.5000
Rb4 Rb 0.5000 0.5000 0.5000
Y1 Y 0.0000 0.5000 0.5000
Y2 Y 0.5000 0.5000 0.0000
Mn1 Mn 0.0000 0.0000 0.5000
Mn2 Mn 0.0000 0.5000 0.0000
Se1 Se 0.1715 0.7360 0.4355
Se2 Se 0.1995 0.2640 0.9355
Se3 Se 0.2380 0.2697 0.5317
Se4 Se 0.2380 0.7063 0.9683
Se5 Se 0.7620 0.2937 0.0317
Se6 Se 0.7620 0.7303 0.4683
Se7 Se 0.8005 0.7360 0.0645
Se8 Se 0.8285 0.2640 0.5645
```

***

[3]
CaGeN2O | PBE-GGA | relaxed

Computed properties:
* total DFT energy (no corrections): -29.90 eV per cell
* size of the total moment: 0.281 μB/atom
* Fermi-level density of states: 3.581 states/eV per cell

```
data_CaGeN2O
_chemical_formula_sum 'Ca1 Ge1 N2 O1'
_cell_length_a 3.8161
_cell_length_b 3.8161
_cell_length_c 3.9925
_cell_angle_alpha 90.00
_cell_angle_beta 90.00
_cell_angle_gamma 90.00
_space_group_name_H-M_alt 'P 1'
_space_group_IT_number 1
loop_
_space_group_symop_operation_xyz
'x,y,z'
loop_
_atom_site_label
_atom_site_type_symbol
_atom_site_fract_x
_atom_site_fract_y
_atom_site_fract_z
Ca1 Ca 0.0000 0.0000 0.0000
Ge1 Ge 0.5000 0.5000 0.5000
N1 N 0.0000 0.5000 0.5000
N2 N 0.5000 0.0000 0.5000
O1 O 0.5000 0.5000 0.0000
```

***

[4]
Hf2ReMoC | PBE-GGA | relaxed

Computed properties:
* calculated formation energy: -200 meV per atom
* total DFT energy (no corrections): -53.41 eV per cell
* size of the total moment: 0.000 μB/atom
* Fermi-level density of states: 2.644 states/eV per cell

```
data_Hf2ReMoC
_chemical_formula_sum 'Hf2 Re1 Mo1 C1'
_cell_length_a 4.5733
_cell_length_b 4.5733
_cell_length_c 3.9012
_cell_angle_alpha 90.00
_cell_angle_beta 90.00
_cell_angle_gamma 90.00
_space_group_name_H-M_alt 'P 1'
_space_group_IT_number 1
loop_
_space_group_symop_operation_xyz
'x,y,z'
loop_
_atom_site_label
_atom_site_type_symbol
_atom_site_fract_x
_atom_site_fract_y
_atom_site_fract_z
Hf1 Hf 0.0000 0.5000 0.0000
Hf2 Hf 0.5000 0.0000 0.0000
Re1 Re 0.0000 0.0000 0.5000
Mo1 Mo 0.5000 0.5000 0.5000
C1 C 0.0000 0.0000 0.0000
```

***

[5]
ZnCuSnSe4 | PBE-GGA | relaxed

Computed properties:
* total DFT energy (no corrections): -50.95 eV per cell
* size of the total moment: 0.000 μB/atom
* Fermi-level density of states: 4.148 states/eV per cell

```
data_ZnCuSnSe4
_chemical_formula_sum 'Zn2 Cu2 Sn2 Se8'
_cell_length_a 7.8854
_cell_length_b 7.8854
_cell_length_c 7.8854
_cell_angle_alpha 123.97
_cell_angle_beta 121.92
_cell_angle_gamma 84.98
_space_group_name_H-M_alt 'P 1'
_space_group_IT_number 1
loop_
_space_group_symop_operation_xyz
'x,y,z'
loop_
_atom_site_label
_atom_site_type_symbol
_atom_site_fract_x
_atom_site_fract_y
_atom_site_fract_z
Zn1 Zn 0.4057 0.1557 0.2500
Zn2 Zn 0.5943 0.8443 0.7500
Cu1 Cu 0.0000 0.0000 0.5000
Cu2 Cu 0.0000 0.5000 0.0000
Sn1 Sn 0.0000 0.5000 0.5000
Sn2 Sn 0.5000 0.5000 0.0000
Se1 Se 0.2028 0.7376 0.4652
Se2 Se 0.2276 0.2624 0.9652
Se3 Se 0.2499 0.2392 0.4893
Se4 Se 0.2499 0.7606 0.0107
Se5 Se 0.7501 0.2394 0.9893
Se6 Se 0.7501 0.7608 0.5107
Se7 Se 0.7724 0.7376 0.0348
Se8 Se 0.7972 0.2624 0.5348
```

***

[6]
ZrCu2Pb | PBE-GGA | relaxed

Computed properties:
* calculated formation energy: 82 meV per atom
* total DFT energy (no corrections): -20.12 eV per cell
* size of the total moment: 0.000 μB/atom
* Fermi-level density of states: 2.078 states/eV per cell

```
data_ZrCu2Pb
_chemical_formula_sum 'Zr1 Cu2 Pb1'
_cell_length_a 3.3282
_cell_length_b 4.2221
_cell_length_c 5.5256
_cell_angle_alpha 90.00
_cell_angle_beta 106.07
_cell_angle_gamma 90.00
_space_group_name_H-M_alt 'P 1'
_space_group_IT_number 1
loop_
_space_group_symop_operation_xyz
'x,y,z'
loop_
_atom_site_label
_atom_site_type_symbol
_atom_site_fract_x
_atom_site_fract_y
_atom_site_fract_z
Zr1 Zr 0.0000 0.0000 0.0000
Cu1 Cu 0.5840 0.5000 0.1830
Cu2 Cu 0.6965 0.0000 0.4366
Pb1 Pb 0.3071 0.5000 0.6420
```

***

[7]
Sc2HgPt | PBE-GGA | relaxed

Computed properties:
* calculated formation energy: -834 meV per atom
* total DFT energy (no corrections): -22.34 eV per cell
* size of the total moment: 0.000 μB/atom
* Fermi-level density of states: 3.932 states/eV per cell

```
data_Sc2HgPt
_chemical_formula_sum 'Sc2 Hg1 Pt1'
_cell_length_a 3.3524
_cell_length_b 3.3524
_cell_length_c 7.0901
_cell_angle_alpha 90.00
_cell_angle_beta 90.00
_cell_angle_gamma 90.00
_space_group_name_H-M_alt 'P 1'
_space_group_IT_number 1
loop_
_space_group_symop_operation_xyz
'x,y,z'
loop_
_atom_site_label
_atom_site_type_symbol
_atom_site_fract_x
_atom_site_fract_y
_atom_site_fract_z
Sc1 Sc 0.0000 0.0000 0.2247
Sc2 Sc 0.0000 0.0000 0.7753
Hg1 Hg 0.5000 0.5000 0.5000
Pt1 Pt 0.5000 0.5000 0.0000
```

***

[8]
CaPmPt4 | PBE-GGA | relaxed

Computed properties:
* calculated formation energy: -1032 meV per atom
* total DFT energy (no corrections): -37.11 eV per cell
* size of the total moment: 0.000 μB/atom
* Fermi-level density of states: 6.042 states/eV per cell

```
data_CaPmPt4
_chemical_formula_sum 'Ca1 Pm1 Pt4'
_cell_length_a 5.4747
_cell_length_b 5.4747
_cell_length_c 5.4747
_cell_angle_alpha 60.00
_cell_angle_beta 60.00
_cell_angle_gamma 60.00
_space_group_name_H-M_alt 'P 1'
_space_group_IT_number 1
loop_
_space_group_symop_operation_xyz
'x,y,z'
loop_
_atom_site_label
_atom_site_type_symbol
_atom_site_fract_x
_atom_site_fract_y
_atom_site_fract_z
Ca1 Ca 0.0000 0.0000 0.0000
Pm1 Pm 0.7500 0.7500 0.7500
Pt1 Pt 0.3747 0.3747 0.3747
Pt2 Pt 0.3747 0.3747 0.8759
Pt3 Pt 0.3747 0.8759 0.3747
Pt4 Pt 0.8759 0.3747 0.3747
```

***

size of the total moment of number 2 (Rb2YMnSe4)? 0.500 μB/atom

***

The highest Fermi-level density of states belongs to which entry? La4Nd10Tm

***

Which formula does entry 6 have? ZrCu2Pb

***

Which formula does entry 8 have? CaPmPt4